(1)
Here is a PBEsol-optimized structure of YTiPdN2 from Alexandria. Energies are from SCAN.

```
data_YTiPdN2
_chemical_formula_sum 'Y1 Ti1 Pd1 N2'
_cell_length_a 4.060
_cell_length_b 4.060
_cell_length_c 6.049
_cell_angle_alpha 90.00
_cell_angle_beta 90.00
_cell_angle_gamma 90.00
_space_group_name_H-M_alt 'P 4/m m m'
_space_group_IT_number 123
_space_group_name_Hall '-P 4 2'
loop_
_atom_site_label
_atom_site_type_symbol
_atom_site_fract_x
_atom_site_fract_y
_atom_site_fract_z
Y1 Y 0.000 0.000 0.000
Ti1 Ti 0.000 0.000 0.500
Pd1 Pd 0.500 0.500 0.500
N1 N 0.000 0.500 0.000
```

## Properties
Formation energy from raw total energies, eV/atom: 1.389
Total moment, Bohr magnetons per cell: 0.2


(2)
Here is a PBEsol-optimized structure of HRhOF2 from Alexandria. Energies are from SCAN.

```
data_HRhOF2
_chemical_formula_sum 'H1 Rh1 O1 F2'
_cell_length_a 3.000
_cell_length_b 3.000
_cell_length_c 4.692
_cell_angle_alpha 90.00
_cell_angle_beta 90.00
_cell_angle_gamma 90.00
_space_group_name_H-M_alt 'P 4/m m m'
_space_group_IT_number 123
_space_group_name_Hall '-P 4 2'
loop_
_atom_site_label
_atom_site_type_symbol
_atom_site_fract_x
_atom_site_fract_y
_atom_site_fract_z
H1 H 0.000 0.000 0.000
Rh1 Rh 0.500 0.500 0.500
O1 O 0.000 0.000 0.500
F1 F 0.000 0.500 0.000
```

## Properties
Total moment, Bohr magnetons per cell: 2.3
Uncorrected energy, eV/atom: -10.397


(3)
Here is a PBEsol-optimized structure of MgAlHg2 from Alexandria. Energies are from SCAN.

```
data_MgAlHg2
_chemical_formula_sum 'Mg1 Al1 Hg2'
_cell_length_a 4.775
_cell_length_b 3.283
_cell_length_c 5.588
_cell_angle_alpha 90.00
_cell_angle_beta 112.88
_cell_angle_gamma 90.00
_space_group_name_H-M_alt 'P 1 2/m 1'
_space_group_IT_number 10
loop_
_space_group_symop_operation_xyz
'x,y,z'
'-x,-y,-z'
'-x,y,-z'
'x,-y,z'
loop_
_atom_site_label
_atom_site_type_symbol
_atom_site_fract_x
_atom_site_fract_y
_atom_site_fract_z
Mg1 Mg 0.000 0.000 0.000
Al1 Al 0.000 0.500 0.500
Hg1 Hg 0.500 0.000 0.500
Hg2 Hg 0.500 0.500 0.000
```

## Properties
Total moment, Bohr magnetons per cell: 0.0
Formation enthalpy at 0 K, eV per atom: -0.137


(4)
Here is a PBEsol-optimized structure of Rb3TmS3O12 from Alexandria. Energies are from SCAN.

```
data_Rb3TmS3O12
_chemical_formula_sum 'Rb12 Tm4 S12 O48'
_cell_length_a 10.604
_cell_length_b 15.190
_cell_length_c 9.270
_cell_angle_alpha 90.00
_cell_angle_beta 124.82
_cell_angle_gamma 90.00
_space_group_name_H-M_alt 'C 1 c 1'
_space_group_IT_number 9
loop_
_space_group_symop_operation_xyz
'x,y,z'
'x,-y,z+1/2'
'x+1/2,y+1/2,z'
'x+1/2,-y+1/2,z+1/2'
loop_
_atom_site_label
_atom_site_type_symbol
_atom_site_fract_x
_atom_site_fract_y
_atom_site_fract_z
Rb1 Rb 0.000 0.004 0.000
Rb2 Rb 0.199 0.314 0.665
Rb3 Rb 0.396 0.271 0.263
Tm1 Tm 0.454 0.091 0.647
S1 S 0.103 0.191 0.283
S2 S 0.133 0.443 0.997
S3 S 0.282 0.105 0.884
O1 O 0.058 0.284 0.287
O2 O 0.106 0.467 0.419
O3 O 0.111 0.179 0.131
O4 O 0.117 0.108 0.808
O5 O 0.191 0.452 0.187
O6 O 0.240 0.394 0.975
O7 O 0.260 0.180 0.450
O8 O 0.298 0.085 0.736
O9 O 0.354 0.032 0.016
O10 O 0.361 0.188 0.967
O11 O 0.484 0.105 0.418
O12 O 0.495 0.371 0.779
```

## Properties
Formation energy from raw total energies, eV/atom: -2.279
Total moment, Bohr magnetons per cell: 0.0


(5)
Here is a PBEsol-optimized structure of Sr3MgTa from Alexandria. Energies are from SCAN.

```
data_Sr3MgTa
_chemical_formula_sum 'Sr3 Mg1 Ta1'
_cell_length_a 6.056
_cell_length_b 6.056
_cell_length_c 6.056
_cell_angle_alpha 90.00
_cell_angle_beta 90.00
_cell_angle_gamma 90.00
_space_group_name_H-M_alt 'P m -3 m'
_space_group_IT_number 221
_space_group_name_Hall '-P 4 2 3'
loop_
_atom_site_label
_atom_site_type_symbol
_atom_site_fract_x
_atom_site_fract_y
_atom_site_fract_z
Sr1 Sr 0.000 0.000 0.500
Mg1 Mg 0.000 0.000 0.000
Ta1 Ta 0.500 0.500 0.500
```

## Properties
Energy relative to the lowest polymorph listed for this composition, eV per atom: 0.310
Total moment, Bohr magnetons per cell: 4.1
Formation enthalpy at 0 K, eV per atom: 1.335


(6)
Here is a PBEsol-optimized structure of SrPI3 from Alexandria. Energies are from SCAN.

```
data_SrPI3
_chemical_formula_sum 'Sr1 P1 I3'
_cell_length_a 6.278
_cell_length_b 6.278
_cell_length_c 6.278
_cell_angle_alpha 90.00
_cell_angle_beta 90.00
_cell_angle_gamma 90.00
_space_group_name_H-M_alt 'P m -3 m'
_space_group_IT_number 221
_space_group_name_Hall '-P 4 2 3'
loop_
_atom_site_label
_atom_site_type_symbol
_atom_site_fract_x
_atom_site_fract_y
_atom_site_fract_z
Sr1 Sr 0.000 0.000 0.000
P1 P 0.500 0.500 0.500
I1 I 0.000 0.000 0.500
```

## Properties
Formation energy from raw total energies, eV/atom: -0.220
Total moment, Bohr magnetons per cell: 2.0


(7)
Here is a PBEsol-optimized structure of Rb3ScBe from Alexandria. Energies are from SCAN.

```
data_Rb3ScBe
_chemical_formula_sum 'Rb3 Sc1 Be1'
_cell_length_a 7.109
_cell_length_b 7.109
_cell_length_c 7.109
_cell_angle_alpha 90.00
_cell_angle_beta 90.00
_cell_angle_gamma 90.00
_space_group_name_H-M_alt 'P m -3 m'
_space_group_IT_number 221
_space_group_name_Hall '-P 4 2 3'
loop_
_atom_site_label
_atom_site_type_symbol
_atom_site_fract_x
_atom_site_fract_y
_atom_site_fract_z
Rb1 Rb 0.000 0.000 0.500
Sc1 Sc 0.000 0.000 0.000
Be1 Be 0.500 0.500 0.500
```

## Properties
Total moment, Bohr magnetons per cell: 4.0
Formation enthalpy at 0 K, eV per atom: 1.370


(8)
Here is a PBEsol-optimized structure of Mg2Si2Pt from Alexandria. Energies are from SCAN.

```
data_Mg2Si2Pt
_chemical_formula_sum 'Mg4 Si4 Pt2'
_cell_length_a 6.186
_cell_length_b 6.186
_cell_length_c 4.353
_cell_angle_alpha 90.00
_cell_angle_beta 90.00
_cell_angle_gamma 90.00
_space_group_name_H-M_alt 'P 4/m b m'
_space_group_IT_number 127
_space_group_name_Hall '-P 4 2ab'
loop_
_atom_site_label
_atom_site_type_symbol
_atom_site_fract_x
_atom_site_fract_y
_atom_site_fract_z
Mg1 Mg 0.176 0.324 0.000
Si1 Si 0.134 0.634 0.500
Pt1 Pt 0.000 0.000 0.500
```

## Properties
Formation energy from raw total energies, eV/atom: -0.563
Total moment, Bohr magnetons per cell: 0.0


(9)
Here is a PBEsol-optimized structure of CrTcN2 from Alexandria. Energies are from SCAN.

```
data_CrTcN2
_chemical_formula_sum 'Cr4 Tc4 N8'
_cell_length_a 5.110
_cell_length_b 5.110
_cell_length_c 5.110
_cell_angle_alpha 90.00
_cell_angle_beta 90.00
_cell_angle_gamma 90.00
_space_group_name_H-M_alt 'F m -3 m'
_space_group_IT_number 225
_space_group_name_Hall '-F 4 2 3'
loop_
_atom_site_label
_atom_site_type_symbol
_atom_site_fract_x
_atom_site_fract_y
_atom_site_fract_z
Cr1 Cr 0.000 0.000 0.000
Tc1 Tc 0.000 0.000 0.500
N1 N 0.250 0.250 0.250
```

## Properties
Formation energy from raw total energies, eV/atom: 0.285
Energy relative to the lowest polymorph listed for this composition, eV per atom: 0.269
Total moment, Bohr magnetons per cell: 12.0


(10)
Here is a PBEsol-optimized structure of NaLi2Ga2 from Alexandria. Energies are from SCAN.

```
data_NaLi2Ga2
_chemical_formula_sum 'Na2 Li4 Ga4'
_cell_length_a 7.891
_cell_length_b 7.891
_cell_length_c 2.882
_cell_angle_alpha 90.00
_cell_angle_beta 90.00
_cell_angle_gamma 90.00
_space_group_name_H-M_alt 'P 4/m b m'
_space_group_IT_number 127
_space_group_name_Hall '-P 4 2ab'
loop_
_atom_site_label
_atom_site_type_symbol
_atom_site_fract_x
_atom_site_fract_y
_atom_site_fract_z
Na1 Na 0.000 0.000 0.000
Li1 Li 0.180 0.320 0.500
Ga1 Ga 0.115 0.615 0.000
```

## Properties
Total moment, Bohr magnetons per cell: 0.0
Formation enthalpy at 0 K, eV per atom: -0.223


(11)
Here is a PBEsol-optimized structure of ZnSi2Tc from Alexandria. Energies are from SCAN.

```
data_ZnSi2Tc
_chemical_formula_sum 'Zn2 Si4 Tc2'
_cell_length_a 3.654
_cell_length_b 3.654
_cell_length_c 7.843
_cell_angle_alpha 90.00
_cell_angle_beta 90.00
_cell_angle_gamma 90.00
_space_group_name_H-M_alt 'I -4 m 2'
_space_group_IT_number 119
_space_group_name_Hall 'I -4 -2'
loop_
_atom_site_label
_atom_site_type_symbol
_atom_site_fract_x
_atom_site_fract_y
_atom_site_fract_z
Zn1 Zn 0.000 0.000 0.000
Si1 Si 0.000 0.000 0.500
Si2 Si 0.000 0.500 0.250
Tc1 Tc 0.000 0.500 0.750
```

## Properties
Formation energy from raw total energies, eV/atom: 0.089
Energy relative to the lowest polymorph listed for this composition, eV per atom: 0.184
Total moment, Bohr magnetons per cell: 0.0


(12)
Here is a PBEsol-optimized structure of ZnCu2Ni from Alexandria. Energies are from SCAN.

```
data_ZnCu2Ni
_chemical_formula_sum 'Zn2 Cu4 Ni2'
_cell_length_a 3.563
_cell_length_b 3.563
_cell_length_c 7.193
_cell_angle_alpha 90.00
_cell_angle_beta 90.00
_cell_angle_gamma 90.00
_space_group_name_H-M_alt 'I 4/m m m'
_space_group_IT_number 139
_space_group_name_Hall '-I 4 2'
loop_
_atom_site_label
_atom_site_type_symbol
_atom_site_fract_x
_atom_site_fract_y
_atom_site_fract_z
Zn1 Zn 0.000 0.000 0.000
Cu1 Cu 0.000 0.500 0.250
Ni1 Ni 0.000 0.000 0.500
```

## Properties
Total moment, Bohr magnetons per cell: 0.0
Formation enthalpy at 0 K, eV per atom: -0.063